# Y2CrSbO7

A relaxed Y2CrSbO7 crystal (GGA-PBEsol, Alexandria via LeMat-Bulk).

Formation energy without anion corrections (eV/atom): -2.6301
Total magnetic moment (μB/cell): 6.000

abc: 7.1718 7.1718 7.1718
angles: 120.16 119.45 90.34
Sites, in units of the cell vectors:
Y  0.0000  0.0000  0.0000
Y  0.5000  0.0000  0.0000
Y  0.5000  0.0000  0.5000
Y  0.5000  0.5000  0.5000
Cr  0.0000  0.0000  0.5000
Cr  0.0000  0.5000  0.0000
Sb  0.0000  0.5000  0.5000
Sb  0.5000  0.5000  0.0000
O  0.0875  0.4193  0.2535
O  0.0875  0.8340  0.6682
O  0.0877  0.8377  0.2500
O  0.3342  0.1660  0.7535
O  0.3342  0.5807  0.1682
O  0.3343  0.5843  0.7500
O  0.3771  0.1271  0.2500
O  0.6229  0.8729  0.7500
O  0.6657  0.4157  0.2500
O  0.6658  0.4193  0.8318
O  0.6658  0.8340  0.2465
O  0.9123  0.1623  0.7500
O  0.9125  0.1660  0.3318
O  0.9125  0.5807  0.7465